(1)
This record from Alexandria via LeMat-Bulk describes a relaxed structure of CuBrNO2. The functional is GGA-PBEsol.

Results
* volume: 11.6 Å³/atom
* calculated density: 5.426 Mg/m³
* ΔE_f (raw): 1.38 eV/atom
* space-group type: No. 123
* M_tot: 0.19 μB/atom

Unit cell a=4.1025 b=3.7595 c=3.7595 alpha=90.00 beta=90.00 gamma=90.00
Fractional coordinates of all 5 atoms:
O 0.0000 0.5000 0.0000
O 0.0000 0.0000 0.5000
Cu 0.5000 0.5000 0.5000
N 0.5000 0.0000 0.0000
Br 0.0000 0.0000 0.0000



(2)
This record from Alexandria via LeMat-Bulk describes a relaxed structure of Cu2PBrN. The functional is GGA-PBEsol.

Results
* volume: 14.0 Å³/atom
* calculated density: 5.962 Mg/m³
* ΔE_f (raw): 0.57 eV/atom
* space-group type: No. 123
* M_tot: 0.00 μB/atom

Unit cell a=3.8090 b=3.8090 c=4.8370 alpha=90.00 beta=90.00 gamma=90.00
Fractional coordinates of all 5 atoms:
Br 0.5000 0.5000 0.5000
Cu 0.0000 0.5000 0.0000
Cu 0.5000 0.0000 0.0000
N 0.0000 0.0000 0.0000
P 0.0000 0.0000 0.5000



(3)
This record from Alexandria via LeMat-Bulk describes a relaxed structure of CuSBrN2. The functional is GGA-PBEsol.

Results
* volume: 15.5 Å³/atom
* calculated density: 4.372 Mg/m³
* ΔE_f (raw): 1.55 eV/atom
* space-group type: No. 123
* M_tot: 0.79 μB/atom

Unit cell a=3.7077 b=3.7077 c=5.6229 alpha=90.00 beta=90.00 gamma=90.00
Fractional coordinates of all 5 atoms:
S 0.0000 0.0000 0.5000
Cu 0.0000 0.0000 0.0000
N 0.5000 0.0000 0.0000
N 0.0000 0.5000 0.0000
Br 0.5000 0.5000 0.5000



(4)
This record from Alexandria via LeMat-Bulk describes a relaxed structure of Na2CuBr. The functional is GGA-PBEsol.

Results
* volume: 23.3 Å³/atom
* calculated density: 3.381 Mg/m³
* ΔE_f (raw): -0.28 eV/atom
* space-group type: No. 225
* M_tot: 0.00 μB/atom

Unit cell a=5.0860 b=5.0860 c=5.0860 alpha=60.00 beta=60.00 gamma=60.00
Fractional coordinates of all 4 atoms:
Na 0.2500 0.2500 0.2500
Na 0.7500 0.7500 0.7500
Cu 0.0000 0.0000 0.0000
Br 0.5000 0.5000 0.5000



(5)
This record from Alexandria via LeMat-Bulk describes a relaxed structure of NaCuBr2. The functional is GGA-PBEsol.

Results
* volume: 26.8 Å³/atom
* calculated density: 3.821 Mg/m³
* ΔE_f (raw): -0.82 eV/atom
* space-group type: No. 122
* M_tot: 0.00 μB/atom

Unit cell a=6.4169 b=6.4169 c=6.9014 alpha=117.70 beta=117.70 gamma=90.00
Fractional coordinates of all 8 atoms:
Cu 0.0000 0.0000 0.0000
Cu 0.2500 0.7500 0.5000
Br 0.1250 0.0716 0.7500
Br 0.9284 0.3750 0.2500
Br 0.6250 0.6784 0.7500
Br 0.3216 0.8750 0.2500
Na 0.5000 0.5000 0.0000
Na 0.7500 0.2500 0.5000



(6)
This record from Alexandria via LeMat-Bulk describes a relaxed structure of Na2NbCuBr. The functional is GGA-PBEsol.

Results
* volume: 27.4 Å³/atom
* calculated density: 3.419 Mg/m³
* ΔE_f (raw): 1.05 eV/atom
* space-group type: No. 123
* M_tot: 0.88 μB/atom

Unit cell a=4.6303 b=5.4421 c=5.4421 alpha=90.00 beta=90.00 gamma=90.00
Fractional coordinates of all 5 atoms:
Nb 0.5000 0.5000 0.5000
Br 0.5000 0.0000 0.0000
Na 0.0000 0.5000 0.0000
Na 0.0000 0.0000 0.5000
Cu 0.0000 0.0000 0.0000



(7)
This record from Alexandria via LeMat-Bulk describes a relaxed structure of Nb2CuBr. The functional is GGA-PBEsol.

Results
* volume: 15.8 Å³/atom
* calculated density: 8.629 Mg/m³
* ΔE_f (raw): 0.42 eV/atom
* space-group type: No. 225
* M_tot: 0.00 μB/atom

Unit cell a=4.4749 b=4.4749 c=4.4749 alpha=60.00 beta=60.00 gamma=60.00
Fractional coordinates of all 4 atoms:
Nb 0.7500 0.7500 0.7500
Nb 0.2500 0.2500 0.2500
Br 0.5000 0.5000 0.5000
Cu 0.0000 0.0000 0.0000



(8)
This record from Alexandria via LeMat-Bulk describes a relaxed structure of Rb2NdCuBr6. The functional is GGA-PBEsol.

Results
* volume: 32.3 Å³/atom
* calculated density: 4.414 Mg/m³
* ΔE_f (raw): -1.45 eV/atom
* space-group type: No. 225
* M_tot: 0.00 μB/atom

Unit cell a=7.7003 b=7.7003 c=7.7003 alpha=60.00 beta=60.00 gamma=60.00
Fractional coordinates of all 10 atoms:
Br 0.7609 0.2391 0.2391
Br 0.2391 0.2391 0.7609
Br 0.7609 0.2391 0.7609
Br 0.2391 0.7609 0.7609
Br 0.7609 0.7609 0.2391
Br 0.2391 0.7609 0.2391
Rb 0.7500 0.7500 0.7500
Rb 0.2500 0.2500 0.2500
Cu 0.0000 0.0000 0.0000
Nd 0.5000 0.5000 0.5000



(9)
This record from Alexandria via LeMat-Bulk describes a relaxed structure of Cu2NiBr. The functional is GGA-PBEsol.

Results
* volume: 13.2 Å³/atom
* calculated density: 8.358 Mg/m³
* energy relative to the lowest polymorph listed for this composition: 0 meV per atom
* ΔE_f (raw): 0.48 eV/atom
* space-group type: No. 139
* M_tot: 0.00 μB/atom

Unit cell a=3.5683 b=3.5683 c=4.8531 alpha=111.57 beta=111.57 gamma=90.00
Fractional coordinates of all 4 atoms:
Br 0.0000 0.0000 0.0000
Cu 0.7500 0.2500 0.5000
Cu 0.2500 0.7500 0.5000
Ni 0.5000 0.5000 0.0000



(10)
This record from Alexandria via LeMat-Bulk describes a relaxed structure of Cu2NiBr. The functional is GGA-PBEsol.

Results
* volume: 13.7 Å³/atom
* calculated density: 8.046 Mg/m³
* energy relative to the lowest polymorph listed for this composition: 147 meV per atom
* ΔE_f (raw): 0.63 eV/atom
* space-group type: No. 225
* M_tot: 0.02 μB/atom

Unit cell a=4.2644 b=4.2644 c=4.2644 alpha=60.00 beta=60.00 gamma=60.00
Fractional coordinates of all 4 atoms:
Br 0.0000 0.0000 0.0000
Cu 0.2500 0.2500 0.2500
Cu 0.7500 0.7500 0.7500
Ni 0.5000 0.5000 0.5000



(11)
This record from Alexandria via LeMat-Bulk describes a relaxed structure of Cu2NiBr. The functional is GGA-PBEsol.

Results
* volume: 13.4 Å³/atom
* calculated density: 8.226 Mg/m³
* energy relative to the lowest polymorph listed for this composition: 53 meV per atom
* ΔE_f (raw): 0.53 eV/atom
* space-group type: No. 216
* M_tot: 0.00 μB/atom

Unit cell a=4.2330 b=4.2330 c=4.2330 alpha=60.00 beta=60.00 gamma=60.00
Fractional coordinates of all 4 atoms:
Cu 0.0000 0.0000 0.0000
Cu 0.7500 0.7500 0.7500
Ni 0.2500 0.2500 0.2500
Br 0.5000 0.5000 0.5000



(12)
This record from Alexandria via LeMat-Bulk describes a relaxed structure of Sr2Cu2TeBr2O6. The functional is GGA-PBEsol.

Results
* volume: 17.3 Å³/atom
* calculated density: 5.066 Mg/m³
* ΔE_f (raw): -1.51 eV/atom
* space-group type: No. 14
* M_tot: 0.00 μB/atom

Unit cell a=5.2373 b=9.2939 c=9.2738 alpha=95.23 beta=90.00 gamma=90.00
Fractional coordinates of all 26 atoms:
Br 0.3944 0.6659 0.6097
Br 0.1056 0.1659 0.6097
Br 0.8944 0.8341 0.3903
Br 0.6056 0.3341 0.3903
O 0.3043 0.9460 0.1665
O 0.7083 0.5463 0.1227
O 0.3338 0.1920 0.0251
O 0.1957 0.4460 0.1665
O 0.8338 0.3080 0.9749
O 0.6957 0.0540 0.8335
O 0.2083 0.9537 0.8773
O 0.2917 0.4537 0.8773
O 0.1662 0.6920 0.0251
O 0.6662 0.8080 0.9749
O 0.7917 0.0463 0.1227
O 0.8043 0.5540 0.8335
Cu 0.9784 0.8665 0.0856
Cu 0.5216 0.3665 0.0856
Cu 0.0216 0.1335 0.9144
Cu 0.4784 0.6335 0.9144
Sr 0.4029 0.6925 0.2745
Sr 0.5971 0.3075 0.7255
Sr 0.9029 0.8075 0.7255
Sr 0.0971 0.1925 0.2745
Te 0.5000 0.0000 0.0000
Te 0.0000 0.5000 0.0000



(13)
This record from Alexandria via LeMat-Bulk describes a relaxed structure of Cu2Te2Br2O5. The functional is GGA-PBEsol.

Results
* volume: 17.2 Å³/atom
* calculated density: 5.446 Mg/m³
* ΔE_f (raw): -0.72 eV/atom
* space-group type: No. 81
* M_tot: 0.18 μB/atom

Unit cell a=6.3748 b=7.7143 c=7.7143 alpha=90.00 beta=90.00 gamma=90.00
Fractional coordinates of all 22 atoms:
Br 0.1887 0.0815 0.2270
Br 0.1887 0.9185 0.7730
Br 0.8113 0.7730 0.0815
Br 0.8113 0.2270 0.9185
Te 0.3683 0.6443 0.1809
Te 0.6317 0.1809 0.3557
Te 0.6317 0.8191 0.6443
Te 0.3683 0.3557 0.8191
O 0.4376 0.7590 0.4640
O 0.8592 0.3313 0.4280
O 0.8592 0.6687 0.5720
O 0.1408 0.4280 0.6687
O 0.4376 0.2410 0.5360
O 0.2410 0.5000 0.0000
O 0.5624 0.5360 0.7590
O 0.1408 0.5720 0.3313
O 0.5624 0.4640 0.2410
O 0.7590 0.0000 0.5000
Cu 0.8491 0.4635 0.7261
Cu 0.8491 0.5365 0.2739
Cu 0.1509 0.2739 0.4635
Cu 0.1509 0.7261 0.5365



(14)
This record from Alexandria via LeMat-Bulk describes a relaxed structure of Cu3Te2Br2O6. The functional is GGA-PBEsol.

Results
* volume: 17.5 Å³/atom
* calculated density: 5.130 Mg/m³
* ΔE_f (raw): -0.69 eV/atom
* space-group type: No. 12
* M_tot: 0.04 μB/atom

Unit cell a=5.6339 b=5.6339 c=8.0544 alpha=77.55 beta=77.55 gamma=66.87
Fractional coordinates of all 13 atoms:
Te 0.6739 0.6739 0.7646
Te 0.3261 0.3261 0.2354
O 0.8664 0.8664 0.6282
O 0.6089 0.2192 0.3703
O 0.3911 0.7808 0.6297
O 0.1336 0.1336 0.3718
O 0.2192 0.6089 0.3703
O 0.7808 0.3911 0.6297
Cu 0.9057 0.9057 0.3696
Cu 0.0943 0.0943 0.6304
Cu 0.5000 0.5000 0.5000
Br 0.7917 0.7917 0.1360
Br 0.2083 0.2083 0.8640



(15)
This record from Alexandria via LeMat-Bulk describes a relaxed structure of Cu2OsBr. The functional is GGA-PBEsol.

Results
* volume: 16.6 Å³/atom
* calculated density: 9.918 Mg/m³
* energy relative to the lowest polymorph listed for this composition: 0 meV per atom
* ΔE_f (raw): 0.69 eV/atom
* space-group type: No. 44
* M_tot: 0.00 μB/atom

Unit cell a=2.8348 b=3.9479 c=6.4205 alpha=107.91 beta=102.75 gamma=90.00
Fractional coordinates of all 4 atoms:
Cu 0.1640 0.6640 0.3279
Cu 0.0410 0.0410 0.0821
Os 0.4849 0.4849 0.9698
Br 0.8101 0.3101 0.6201



(16)
This record from Alexandria via LeMat-Bulk describes a relaxed structure of Cu2OsBr. The functional is GGA-PBEsol.

Results
* volume: 14.2 Å³/atom
* calculated density: 11.649 Mg/m³
* energy relative to the lowest polymorph listed for this composition: 429 meV per atom
* ΔE_f (raw): 1.12 eV/atom
* space-group type: No. 139
* M_tot: 0.11 μB/atom

Unit cell a=3.7270 b=3.7270 c=4.8542 alpha=112.58 beta=112.58 gamma=90.00
Fractional coordinates of all 4 atoms:
Cu 0.2500 0.7500 0.5000
Cu 0.7500 0.2500 0.5000
Os 0.5000 0.5000 0.0000
Br 0.0000 0.0000 0.0000



(17)
This record from Alexandria via LeMat-Bulk describes a relaxed structure of Cu2OsBr. The functional is GGA-PBEsol.

Results
* volume: 14.6 Å³/atom
* calculated density: 11.316 Mg/m³
* energy relative to the lowest polymorph listed for this composition: 107 meV per atom
* ΔE_f (raw): 0.80 eV/atom
* space-group type: No. 99
* M_tot: 0.00 μB/atom

Unit cell a=3.0001 b=3.0001 c=6.4762 alpha=90.00 beta=90.00 gamma=90.00
Fractional coordinates of all 4 atoms:
Cu 0.0000 0.0000 0.0528
Cu 0.5000 0.5000 0.2460
Br 0.5000 0.5000 0.7365
Os 0.0000 0.0000 0.4647



(18)
This record from Alexandria via LeMat-Bulk describes a relaxed structure of Cu2OsBr. The functional is GGA-PBEsol.

Results
* volume: 14.3 Å³/atom
* calculated density: 11.540 Mg/m³
* energy relative to the lowest polymorph listed for this composition: 318 meV per atom
* ΔE_f (raw): 1.01 eV/atom
* space-group type: No. 123
* M_tot: 0.00 μB/atom

Unit cell a=2.9483 b=4.4030 c=4.4030 alpha=90.00 beta=90.00 gamma=90.00
Fractional coordinates of all 4 atoms:
Cu 0.0000 0.0000 0.5000
Cu 0.0000 0.5000 0.0000
Br 0.5000 0.0000 0.0000
Os 0.5000 0.5000 0.5000



(19)
This record from Alexandria via LeMat-Bulk describes a relaxed structure of Cu3OsBr. The functional is GGA-PBEsol.

Results
* volume: 19.9 Å³/atom
* calculated density: 7.671 Mg/m³
* ΔE_f (raw): 1.47 eV/atom
* space-group type: No. 221
* M_tot: 0.12 μB/atom

Unit cell a=4.6377 b=4.6377 c=4.6377 alpha=90.00 beta=90.00 gamma=90.00
Fractional coordinates of all 5 atoms:
Os 0.0000 0.0000 0.0000
Cu 0.5000 0.0000 0.0000
Cu 0.0000 0.0000 0.5000
Cu 0.0000 0.5000 0.0000
Br 0.5000 0.5000 0.5000



(20)
This record from Alexandria via LeMat-Bulk describes a relaxed structure of CuOs2Br. The functional is GGA-PBEsol.

Results
* volume: 15.0 Å³/atom
* calculated density: 14.498 Mg/m³
* ΔE_f (raw): 1.17 eV/atom
* space-group type: No. 12
* M_tot: 0.00 μB/atom

Unit cell a=2.8603 b=4.5121 c=5.3498 alpha=114.56 beta=104.94 gamma=91.29
Fractional coordinates of all 4 atoms:
Os 0.0000 0.0000 0.5000
Os 0.5000 0.5000 0.5000
Br 0.5000 0.0000 0.0000
Cu 0.0000 0.5000 0.0000



(21)
This record from Alexandria via LeMat-Bulk describes a relaxed structure of CuP2Br. The functional is GGA-PBEsol.

Results
* volume: 19.1 Å³/atom
* calculated density: 4.476 Mg/m³
* energy relative to the lowest polymorph listed for this composition: 431 meV per atom
* ΔE_f (raw): 0.48 eV/atom
* space-group type: No. 71
* M_tot: 0.00 μB/atom

Unit cell a=2.4514 b=6.1313 c=6.1313 alpha=58.15 beta=78.47 gamma=78.47
Fractional coordinates of all 4 atoms:
P 0.3096 0.6904 0.6904
P 0.6904 0.3096 0.3096
Br 0.5000 0.0000 0.0000
Cu 0.0000 0.5000 0.5000



(22)
This record from Alexandria via LeMat-Bulk describes a relaxed structure of CuPBr. The functional is GGA-PBEsol.

Results
* volume: 19.9 Å³/atom
* calculated density: 4.843 Mg/m³
* energy relative to the lowest polymorph listed for this composition: 1038 meV per atom
* ΔE_f (raw): 1.16 eV/atom
* space-group type: No. 216
* M_tot: 0.00 μB/atom

Unit cell a=4.3897 b=4.3897 c=4.3897 alpha=60.00 beta=60.00 gamma=60.00
Fractional coordinates of all 3 atoms:
P 0.5000 0.5000 0.5000
Br 0.2500 0.2500 0.2500
Cu 0.0000 0.0000 0.0000



(23)
This record from Alexandria via LeMat-Bulk describes a relaxed structure of CuP2Br. The functional is GGA-PBEsol.

Results
* volume: 20.0 Å³/atom
* calculated density: 4.254 Mg/m³
* energy relative to the lowest polymorph listed for this composition: 0 meV per atom
* ΔE_f (raw): 0.04 eV/atom
* space-group type: No. 12
* M_tot: 0.00 μB/atom

Unit cell a=3.3402 b=4.0985 c=6.0906 alpha=89.89 beta=105.91 gamma=90.00
Fractional coordinates of all 4 atoms:
Br 0.5000 0.5000 0.0000
Cu 0.0000 0.0000 0.0000
P 0.1943 0.9970 0.3886
P 0.8057 0.0030 0.6114



(24)
This record from Alexandria via LeMat-Bulk describes a relaxed structure of CuPBr. The functional is GGA-PBEsol.

Results
* volume: 17.6 Å³/atom
* calculated density: 5.486 Mg/m³
* energy relative to the lowest polymorph listed for this composition: 99 meV per atom
* ΔE_f (raw): 0.22 eV/atom
* space-group type: No. 156
* M_tot: 0.00 μB/atom

Unit cell a=3.4999 b=3.4999 c=4.9766 alpha=90.00 beta=90.00 gamma=120.00
Fractional coordinates of all 3 atoms:
P 0.6667 0.3333 0.4041
Br 0.0000 0.0000 0.9635
Cu 0.3333 0.6667 0.6324



(25)
This record from Alexandria via LeMat-Bulk describes a relaxed structure of CuPBr. The functional is GGA-PBEsol.

Results
* volume: 19.5 Å³/atom
* calculated density: 4.947 Mg/m³
* energy relative to the lowest polymorph listed for this composition: 0 meV per atom
* ΔE_f (raw): 0.12 eV/atom
* space-group type: No. 107
* M_tot: 0.00 μB/atom

Unit cell a=3.3515 b=3.3515 c=5.7253 alpha=107.02 beta=107.02 gamma=90.00
Fractional coordinates of all 3 atoms:
Br 0.0105 0.0105 0.0209
Cu 0.7581 0.7581 0.5163
P 0.2314 0.2314 0.4628